## Zr2TaBeRe (PBE-GGA)

Data for crystalline Zr2TaBeRe at its relaxed geometry.

Lattice parameters (Å, degrees): 4.717 4.717 4.131 90.00 90.00 90.00
Sites, in units of the cell vectors:
Zr1 0.000 0.500 0.000
Zr2 0.500 0.000 0.000
Ta1 0.000 0.000 0.500
Be1 0.500 0.500 0.000
Re1 0.500 0.500 0.500

N(E_F) (states/eV per cell): 6.7
M_tot (μB/f.u.): 0.00

***

## Er2CuPd (PBE-GGA)

Data for crystalline Er2CuPd at its relaxed geometry.

Lattice parameters (Å, degrees): 5.479 4.540 7.340 90.00 109.54 90.00
Sites, in units of the cell vectors:
Er1 0.221 0.250 0.430
Er2 0.222 0.250 0.931
Er3 0.778 0.750 0.069
Er4 0.779 0.750 0.570
Cu1 0.342 0.750 0.708
Cu2 0.658 0.250 0.292
Pd1 0.341 0.750 0.213
Pd2 0.659 0.250 0.787

N(E_F) (states/eV per cell): 3.8
M_tot (μB/f.u.): 0.00

***

Final energy for the records above, in order: -8.535 -5.233 eV/atom
E_form for the records above, in order: 2.4 -2.5 eV/f.u.